(1)
The following is a DFT calculation (GGA-PBE) of TbGdYTh after structural relaxation.

ΔH_f (0 K) ... 163 meV per atom
Magnetic moment ... 8.703 μB/f.u.

a b c (Å): 8.050 8.050 8.050
angles (deg): 90.00 90.00 90.00
Space group F-43m (No. 216)
Unique sites:
Tb 0.000 0.000 0.000 [4 per cell]
Gd 0.000 0.000 0.500 [4 per cell]
Y 0.250 0.250 0.250 [4 per cell]
Th 0.250 0.250 0.750 [4 per cell]

---

(2)
The following is a DFT calculation (GGA-PBE) of La4Pr2Nd3 after structural relaxation.

ΔH_f (0 K) ... 18 meV per atom
Magnetic moment ... 0.000 μB/f.u.
Distance to the lowest polymorph of the same formula ... 6.4 meV per atom

a b c (Å): 11.739 5.267 11.139
angles (deg): 90.00 108.24 90.00
Space group C2/m (No. 12)
Unique sites:
La 0.000 0.000 0.168 [4 per cell]
La 0.167 0.500 0.389 [4 per cell]
Pr 0.168 0.500 0.724 [4 per cell]
Nd 0.000 0.000 0.500 [2 per cell]
Nd 0.165 0.500 0.054 [4 per cell]